Record 1
A plane-wave DFT calculation with PBE-GGA was carried out for a relaxed structure of TlZnGa2.

## Properties
calculated density	7.83	g/cm3
energy relative to the elements	0.06	eV per atom
DOS(E_F)	2.33	states/eV/cell

```
data_TlZnGa2
_symmetry_space_group_name_H-M 'P 1'
_symmetry_Int_Tables_number 1
_symmetry_space_group_name_Hall 'P 1'
_cell_length_a 4.188
_cell_length_b 6.586
_cell_length_c 6.667
_cell_angle_alpha 95.46
_cell_angle_beta 90.00
_cell_angle_gamma 108.54
loop_
_atom_site_label
_atom_site_type_symbol
_atom_site_fract_x
_atom_site_fract_y
_atom_site_fract_z
Zn1 Zn 0.168 0.336 0.377
Zn2 Zn 0.000 0.001 0.614
Tl1 Tl 0.344 0.688 0.816
Tl2 Tl 0.462 0.924 0.273
Ga1 Ga 0.801 0.601 0.466
Ga2 Ga 0.721 0.442 0.086
Ga3 Ga 0.078 0.157 0.990
Ga4 Ga 0.630 0.260 0.695
```

---

Record 2
A plane-wave DFT calculation with PBE-GGA was carried out for a relaxed structure of CuSnMo.

## Properties
calculated density	8.15	g/cm3
energy relative to the elements	0.38	eV per atom
DOS(E_F)	4.33	states/eV/cell

```
data_CuSnMo
_symmetry_space_group_name_H-M 'P 1'
_symmetry_Int_Tables_number 1
_symmetry_space_group_name_Hall 'P 1'
_cell_length_a 4.119
_cell_length_b 4.119
_cell_length_c 8.076
_cell_angle_alpha 75.23
_cell_angle_beta 75.23
_cell_angle_gamma 60.00
loop_
_atom_site_label
_atom_site_type_symbol
_atom_site_fract_x
_atom_site_fract_y
_atom_site_fract_z
Sn1 Sn 0.569 0.569 0.294
Sn2 Sn 0.431 0.431 0.706
Cu1 Cu 0.813 0.813 0.560
Cu2 Cu 0.187 0.187 0.440
Mo1 Mo 0.690 0.690 0.931
Mo2 Mo 0.310 0.310 0.069
```

---

Record 3
A plane-wave DFT calculation with PBE-GGA was carried out for a relaxed structure of Cd2FeHg.

## Properties
calculated density	10.36	g/cm3
energy relative to the elements	0.31	eV per atom
DOS(E_F)	2.94	states/eV/cell

```
data_Cd2FeHg
_symmetry_space_group_name_H-M 'P 1'
_symmetry_Int_Tables_number 1
_symmetry_space_group_name_Hall 'P 1'
_cell_length_a 5.236
_cell_length_b 5.236
_cell_length_c 3.018
_cell_angle_alpha 90.00
_cell_angle_beta 90.00
_cell_angle_gamma 111.19
loop_
_atom_site_label
_atom_site_type_symbol
_atom_site_fract_x
_atom_site_fract_y
_atom_site_fract_z
Hg1 Hg 0.000 0.500 0.500
Cd1 Cd 0.500 0.500 0.000
Cd2 Cd 0.000 0.000 0.000
Fe1 Fe 0.500 0.000 0.500
```

---

Record 4
A plane-wave DFT calculation with PBE-GGA was carried out for a relaxed structure of Y3Cr5Te12.

## Properties
calculated density	5.64	g/cm3
energy relative to the elements, uncorrected	-475	meV/atom
DOS(E_F)	43.03	states/eV/cell

```
data_Y3Cr5Te12
_symmetry_space_group_name_H-M 'P 1'
_symmetry_Int_Tables_number 1
_symmetry_space_group_name_Hall 'P 1'
_cell_length_a 14.657
_cell_length_b 14.657
_cell_length_c 14.657
_cell_angle_alpha 109.47
_cell_angle_beta 109.47
_cell_angle_gamma 109.47
loop_
_atom_site_label
_atom_site_type_symbol
_atom_site_fract_x
_atom_site_fract_y
_atom_site_fract_z
Cr1 Cr 0.500 0.000 0.500
Cr2 Cr 0.750 0.625 0.375
Cr3 Cr 0.500 0.500 0.500
Cr4 Cr 0.000 0.500 0.000
Cr5 Cr 0.375 0.125 0.750
Cr6 Cr 0.500 0.000 0.000
Cr7 Cr 0.000 0.000 0.500
Cr8 Cr 0.750 0.125 0.875
Cr9 Cr 0.500 0.500 0.000
Cr10 Cr 0.625 0.750 0.875
Cr11 Cr 0.250 0.375 0.625
Cr12 Cr 0.000 0.500 0.500
Cr13 Cr 0.125 0.750 0.375
Cr14 Cr 0.000 0.000 0.000
Cr15 Cr 0.875 0.250 0.625
Cr16 Cr 0.625 0.875 0.250
Cr17 Cr 0.125 0.375 0.250
Cr18 Cr 0.875 0.625 0.750
Cr19 Cr 0.250 0.875 0.125
Cr20 Cr 0.375 0.250 0.125
Te1 Te 0.210 0.534 0.621
Te2 Te 0.588 0.966 0.676
Te3 Te 0.324 0.534 0.412
Te4 Te 0.621 0.588 0.912
Te5 Te 0.121 0.710 0.534
Te6 Te 0.621 0.034 0.210
Te7 Te 0.534 0.210 0.121
Te8 Te 0.034 0.412 0.824
Te9 Te 0.879 0.290 0.466
Te10 Te 0.379 0.966 0.790
Te11 Te 0.710 0.588 0.176
Te12 Te 0.824 0.912 0.290
Te13 Te 0.412 0.121 0.588
Te14 Te 0.176 0.088 0.966
Te15 Te 0.912 0.088 0.879
Te16 Te 0.379 0.412 0.088
Te17 Te 0.412 0.034 0.324
Te18 Te 0.966 0.379 0.290
Te19 Te 0.412 0.290 0.324
Te20 Te 0.790 0.466 0.379
Te21 Te 0.912 0.824 0.790
Te22 Te 0.710 0.121 0.034
Te23 Te 0.466 0.676 0.088
Te24 Te 0.824 0.912 0.034
Te25 Te 0.966 0.588 0.176
Te26 Te 0.879 0.588 0.912
Te27 Te 0.790 0.324 0.912
Te28 Te 0.210 0.676 0.088
Te29 Te 0.588 0.879 0.412
Te30 Te 0.290 0.412 0.824
Te31 Te 0.034 0.621 0.710
Te32 Te 0.088 0.912 0.379
Te33 Te 0.324 0.790 0.412
Te34 Te 0.588 0.710 0.676
Te35 Te 0.912 0.088 0.621
Te36 Te 0.466 0.790 0.879
Te37 Te 0.534 0.324 0.912
Te38 Te 0.176 0.088 0.710
Te39 Te 0.088 0.912 0.121
Te40 Te 0.588 0.621 0.412
Te41 Te 0.088 0.176 0.210
Te42 Te 0.088 0.176 0.466
Te43 Te 0.412 0.379 0.588
Te44 Te 0.121 0.412 0.088
Te45 Te 0.912 0.824 0.534
Te46 Te 0.290 0.879 0.966
Te47 Te 0.676 0.210 0.588
Te48 Te 0.676 0.466 0.588
Y1 Y 0.375 0.750 0.625
Y2 Y 0.375 0.625 0.250
Y3 Y 0.250 0.625 0.875
Y4 Y 0.625 0.250 0.375
Y5 Y 0.625 0.375 0.750
Y6 Y 0.875 0.750 0.125
Y7 Y 0.125 0.875 0.750
Y8 Y 0.125 0.250 0.875
Y9 Y 0.750 0.875 0.625
Y10 Y 0.250 0.125 0.375
Y11 Y 0.750 0.375 0.125
Y12 Y 0.875 0.125 0.250
```

---

Record 5
A plane-wave DFT calculation with PBE-GGA was carried out for a relaxed structure of AcSiN2.

## Properties
calculated density	5.20	g/cm3
energy relative to the elements, uncorrected	-912	meV/atom
DOS(E_F)	1.45	states/eV/cell

```
data_AcSiN2
_symmetry_space_group_name_H-M 'P 1'
_symmetry_Int_Tables_number 1
_symmetry_space_group_name_Hall 'P 1'
_cell_length_a 4.819
_cell_length_b 6.523
_cell_length_c 6.764
_cell_angle_alpha 107.38
_cell_angle_beta 66.09
_cell_angle_gamma 108.56
loop_
_atom_site_label
_atom_site_type_symbol
_atom_site_fract_x
_atom_site_fract_y
_atom_site_fract_z
Ac1 Ac 0.722 0.237 0.324
Ac2 Ac 0.222 0.737 0.824
Si1 Si 0.469 0.257 0.844
Si2 Si 0.974 0.217 0.804
N1 N 0.858 0.373 0.688
N2 N 0.270 0.073 0.660
N3 N 0.173 0.401 0.988
N4 N 0.586 0.101 0.960
```

---

Record 6
A plane-wave DFT calculation with PBE-GGA was carried out for a relaxed structure of Tb6Nd2Dy3.

## Properties
calculated density	7.62	g/cm3
energy relative to the elements	0.18	eV per atom
DOS(E_F)	18.15	states/eV/cell

```
data_Tb6Nd2Dy3
_symmetry_space_group_name_H-M 'P 1'
_symmetry_Int_Tables_number 1
_symmetry_space_group_name_Hall 'P 1'
_cell_length_a 6.134
_cell_length_b 6.141
_cell_length_c 11.738
_cell_angle_alpha 84.93
_cell_angle_beta 79.81
_cell_angle_gamma 60.04
loop_
_atom_site_label
_atom_site_type_symbol
_atom_site_fract_x
_atom_site_fract_y
_atom_site_fract_z
Dy1 Dy 0.335 0.330 0.000
Dy2 Dy 0.000 0.000 0.000
Dy3 Dy 0.665 0.670 0.000
Tb1 Tb 0.251 0.000 0.247
Tb2 Tb 0.917 0.667 0.247
Tb3 Tb 0.749 0.000 0.753
Tb4 Tb 0.083 0.333 0.753
Tb5 Tb 0.416 0.667 0.753
Tb6 Tb 0.584 0.333 0.247
Nd1 Nd 0.167 0.667 0.500
Nd2 Nd 0.833 0.333 0.500
```

---

Record 7
A plane-wave DFT calculation with PBE-GGA was carried out for a relaxed structure of LaMgGa.

## Properties
calculated density	4.99	g/cm3
energy relative to the elements	-0.33	eV per atom
DOS(E_F)	3.58	states/eV/cell

```
data_LaMgGa
_symmetry_space_group_name_H-M 'P 1'
_symmetry_Int_Tables_number 1
_symmetry_space_group_name_Hall 'P 1'
_cell_length_a 4.766
_cell_length_b 6.326
_cell_length_c 6.451
_cell_angle_alpha 117.69
_cell_angle_beta 111.63
_cell_angle_gamma 68.00
loop_
_atom_site_label
_atom_site_type_symbol
_atom_site_fract_x
_atom_site_fract_y
_atom_site_fract_z
Ga1 Ga 0.298 0.495 0.240
Ga2 Ga 0.003 0.875 0.031
La1 La 0.645 0.473 0.912
La2 La 0.301 0.954 0.704
Mg1 Mg 0.561 0.048 0.317
Mg2 Mg 0.942 0.450 0.482
```

---

Record 8
A plane-wave DFT calculation with PBE-GGA was carried out for a relaxed structure of Er3MgSc4.

## Properties
calculated density	5.09	g/cm3
energy relative to the elements	0.38	eV per atom
DOS(E_F)	13.51	states/eV/cell

```
data_Er3MgSc4
_symmetry_space_group_name_H-M 'P 1'
_symmetry_Int_Tables_number 1
_symmetry_space_group_name_Hall 'P 1'
_cell_length_a 7.020
_cell_length_b 7.020
_cell_length_c 7.020
_cell_angle_alpha 109.32
_cell_angle_beta 89.97
_cell_angle_gamma 132.04
loop_
_atom_site_label
_atom_site_type_symbol
_atom_site_fract_x
_atom_site_fract_y
_atom_site_fract_z
Er1 Er 0.582 0.203 0.784
Er2 Er 0.931 0.000 0.931
Er3 Er 0.582 0.797 0.379
Sc1 Sc 0.493 0.241 0.252
Sc2 Sc 0.012 0.759 0.252
Sc3 Sc 0.271 0.327 0.598
Sc4 Sc 0.271 0.673 0.944
Mg1 Mg 0.009 0.500 0.509
```

---

Record 9
A plane-wave DFT calculation with PBE-GGA was carried out for a relaxed structure of ReGe2Se2.

## Properties
calculated density	8.57	g/cm3
energy relative to the elements, uncorrected	628	meV/atom
DOS(E_F)	8.89	states/eV/cell

```
data_ReGe2Se2
_symmetry_space_group_name_H-M 'P 1'
_symmetry_Int_Tables_number 1
_symmetry_space_group_name_Hall 'P 1'
_cell_length_a 6.675
_cell_length_b 6.675
_cell_length_c 4.259
_cell_angle_alpha 90.00
_cell_angle_beta 90.00
_cell_angle_gamma 90.00
loop_
_atom_site_label
_atom_site_type_symbol
_atom_site_fract_x
_atom_site_fract_y
_atom_site_fract_z
Re1 Re 0.000 0.000 0.000
Re2 Re 0.500 0.500 0.000
Ge1 Ge 0.360 0.860 0.000
Ge2 Ge 0.860 0.640 0.000
Ge3 Ge 0.640 0.140 0.000
Ge4 Ge 0.140 0.360 0.000
Se1 Se 0.700 0.800 0.500
Se2 Se 0.800 0.300 0.500
Se3 Se 0.200 0.700 0.500
Se4 Se 0.300 0.200 0.500
```